## Ti2Al2Ru3 (PBE)

Data for a geometry-optimized Ti2Al2Ru3 structure.

Values from the calculation:
As for the density of states at the Fermi level: 0.4249 states/eV per atom. Its formation energy is -645.4 meV/atom. The calculated total energy is -7.9457 eV/atom. The space-group type is No. 2.

Lattice parameters (Å, degrees): 4.2811 4.2680 8.1217 90.06 122.12 119.92
Last column: nearest neighbours and their distance in Å.
Element x y z (fractional)
Ti: 0.8622 0.4314 0.1461  7 Ru 2.61-2.74, 1 Al 2.85
Ti: 0.1378 0.5686 0.8539  7 Ru 2.61-2.74, 1 Al 2.85
Al: 0.5492 0.2754 0.4100  4 Ru 2.60-2.63, 3 Al 2.71-2.74, 1 Ti 2.85
Al: 0.4508 0.7246 0.5900  4 Ru 2.60-2.63, 3 Al 2.71-2.74, 1 Ti 2.85
Ru: 0.0000 0.0000 0.0000  2 Al 2.63, 6 Ti 2.64
Ru: 0.2885 0.1432 0.7191  3 Al 2.60-2.61, 4 Ti 2.61-2.74, 1 Ru 2.81
Ru: 0.7115 0.8568 0.2809  3 Al 2.60-2.61, 4 Ti 2.61-2.74, 1 Ru 2.81


## Dy2HoPuO8 (PBE)

Data for a geometry-optimized Dy2HoPuO8 structure.

Values from the calculation:
The calculated total energy is -8.7450 eV/atom. The value obtained for the raw formation energy is -3.0967 eV per atom. The space-group type is No. 65.

Lattice parameters (Å, degrees): 5.0871 5.0875 6.9528 90.00 90.00 91.04
Last column: nearest neighbours and their distance in Å.
Element x y z (fractional)
Dy: 0.5000 0.5000 0.7403  6 O 2.16-2.39
Dy: 0.5000 0.5000 0.2597  6 O 2.16-2.39
Ho: 0.0000 0.0000 0.5000  6 O 2.19-2.34
Pu: 0.0000 0.0000 0.0000  6 O 1.99-2.04
O: 0.1831 0.8163 0.2229  1 Pu 2.04
O: 0.7199 0.7208 0.0000  1 Pu 1.99
O: 0.8170 0.1838 0.2229  1 Pu 2.04
O: 0.8169 0.1837 0.7771  1 Pu 2.04
O: 0.2801 0.2792 0.0000  1 Pu 1.99
O: 0.1830 0.8162 0.7771  1 Pu 2.04
O: 0.6928 0.6933 0.5000  2 Dy 2.16, 1 Ho 2.19
O: 0.3072 0.3067 0.5000  2 Dy 2.16, 1 Ho 2.19


## MgPd12Au6 (PBE)

Data for a geometry-optimized MgPd12Au6 structure.

Values from the calculation:
As for the density of states at the Fermi level: 1.3223 states/eV per atom. Its formation energy is -40.0 meV/atom. The calculated total energy is -4.4386 eV/atom. The space-group type is No. 148.

Lattice parameters (Å, degrees): 6.8260 6.8260 6.8260 91.01 91.01 91.01
Last column: nearest neighbours and their distance in Å.
Element x y z (fractional)
Mg: 0.0000 0.0000 0.0000  6 Pd 2.73, 6 Au 2.73
Pd: 0.7979 0.5274 0.4470  4 Pd 2.71-2.87, 4 Au 2.71-2.88
Pd: 0.4470 0.7979 0.5274  4 Pd 2.71-2.87, 4 Au 2.71-2.88
Pd: 0.5274 0.4470 0.7979  4 Pd 2.71-2.87, 4 Au 2.71-2.88
Pd: 0.2021 0.4726 0.5530  4 Pd 2.71-2.87, 4 Au 2.71-2.88
Pd: 0.5530 0.2021 0.4726  4 Pd 2.71-2.87, 4 Au 2.71-2.88
Pd: 0.4726 0.5530 0.2021  4 Pd 2.71-2.87, 4 Au 2.71-2.88
Pd: 0.0458 0.1489 0.3718  4 Pd 2.71-2.81, 1 Mg 2.73, 5 Au 2.80-2.94
Pd: 0.8511 0.6282 0.9542  4 Pd 2.71-2.81, 1 Mg 2.73, 5 Au 2.80-2.94
Pd: 0.6282 0.9542 0.8511  4 Pd 2.71-2.81, 1 Mg 2.73, 5 Au 2.80-2.94
Pd: 0.9542 0.8511 0.6282  4 Pd 2.71-2.81, 1 Mg 2.73, 5 Au 2.80-2.94
Pd: 0.1489 0.3718 0.0458  4 Pd 2.71-2.81, 1 Mg 2.73, 5 Au 2.80-2.94
Pd: 0.3718 0.0458 0.1489  4 Pd 2.71-2.81, 1 Mg 2.73, 5 Au 2.80-2.94
Au: 0.7282 0.8811 0.2641  9 Pd 2.71-2.94, 1 Mg 2.73, 2 Au 2.86
Au: 0.7359 0.2718 0.1189  9 Pd 2.71-2.94, 1 Mg 2.73, 2 Au 2.86
Au: 0.1189 0.7359 0.2718  9 Pd 2.71-2.94, 1 Mg 2.73, 2 Au 2.86
Au: 0.2718 0.1189 0.7359  9 Pd 2.71-2.94, 1 Mg 2.73, 2 Au 2.86
Au: 0.2641 0.7282 0.8811  9 Pd 2.71-2.94, 1 Mg 2.73, 2 Au 2.86
Au: 0.8811 0.2641 0.7282  9 Pd 2.71-2.94, 1 Mg 2.73, 2 Au 2.86


## Li4Y3TiSe8 (PBE)

Data for a geometry-optimized Li4Y3TiSe8 structure.

Values from the calculation:
As for the density of states at the Fermi level: 0.3359 states/eV per atom. The calculated total energy is -5.4726 eV/atom. The value obtained for the raw formation energy is -1.5464 eV per atom. The space-group type is No. 166.

Lattice parameters (Å, degrees): 7.9683 7.9520 7.9676 120.09 120.00 90.00
Last column: nearest neighbours and their distance in Å.
Element x y z (fractional)
Li: 0.5000 0.0000 0.0000  6 Se 2.93
Li: 0.5000 0.0000 0.5000  6 Se 2.77-2.79
Li: 0.0000 0.0000 0.0000  6 Se 2.78
Li: 0.0000 0.0000 0.5000  6 Se 2.77-2.79
Y: 0.5000 0.5000 0.0000  6 Se 2.84-2.86
Y: 0.5000 0.5000 0.5000  6 Se 2.84-2.86
Y: 0.0000 0.5000 0.5000  6 Se 2.84-2.86
Ti: 0.0000 0.5000 0.0000  6 Se 2.70
Se: 0.2399 0.7470 0.0073  1 Ti 2.70, 3 Li 2.77-2.93, 2 Y 2.86
Se: 0.2400 0.7471 0.4800  1 Ti 2.70, 3 Li 2.78-2.93, 2 Y 2.86
Se: 0.2474 0.2423 0.4947  3 Li 2.78-2.79, 3 Y 2.84
Se: 0.7673 0.7470 0.0073  1 Ti 2.70, 3 Li 2.77-2.93, 2 Y 2.86
Se: 0.2327 0.2530 0.9927  1 Ti 2.70, 3 Li 2.77-2.93, 2 Y 2.86
Se: 0.7526 0.7577 0.5053  3 Li 2.78-2.79, 3 Y 2.84
Se: 0.7600 0.2529 0.5200  1 Ti 2.70, 3 Li 2.78-2.93, 2 Y 2.86
Se: 0.7601 0.2530 0.9927  1 Ti 2.70, 3 Li 2.77-2.93, 2 Y 2.86